Record 1
A plane-wave DFT calculation with PBE-GGA was carried out for a relaxed BeNbSbI2 crystal.

Cell: 5.1097 5.1097 4.9892 Å, 90.00 90.00 90.00°
Last column: nearest neighbours and their distance in Å.
Element x y z (fractional)
Be 0.0000 0.0000 0.0000  2 Sb 2.49, 4 I 2.55
Nb 0.5000 0.5000 0.5000  8 I 3.57, 4 Sb 3.61
Sb 0.0000 0.0000 0.5000  2 Be 2.49
I 0.0000 0.5000 0.0000  2 Be 2.55
I 0.5000 0.0000 0.0000  2 Be 2.55

Summary:
Volume, Å³ per cell: 130
Density of states at the Fermi level, states/eV per atom: 0.603
Formation energy from raw total energies, meV/atom: 881
Energy above the most stable polymorph in this dataset, meV per atom: 100
SG: P4/mmm

***

Record 2
A plane-wave DFT calculation with PBE-GGA was carried out for a relaxed BaCr2Hg crystal.

Cell: 3.6565 3.7628 7.7285 Å, 90.00 90.00 90.00°
Last column: nearest neighbours and their distance in Å.
Element x y z (fractional)
Ba 0.0000 0.0000 0.0000  8 Cr 3.59, 4 Ba 3.66-3.76, 2 Hg 3.86
Cr 0.5000 0.5000 0.3168  1 Cr 2.83, 4 Hg 2.98
Cr 0.5000 0.5000 0.6832  1 Cr 2.83, 4 Hg 2.98
Hg 0.0000 0.0000 0.5000  8 Cr 2.98

Summary:
Energy relative to the elements, meV per atom: 715
Volume, Å³ per cell: 106
Density of states at the Fermi level, states/eV per atom: 0.842
SG: Pmmm

***

Record 3
A plane-wave DFT calculation with PBE-GGA was carried out for a relaxed Ca2NpTiAs4 crystal.

Cell: 6.8903 4.0272 7.1642 Å, 90.00 108.70 90.00°
Last column: nearest neighbours and their distance in Å.
Element x y z (fractional)
Ca 0.0000 0.0000 0.0000  6 As 3.04-3.05
Ca 0.5000 0.5000 0.0000  6 As 2.93-2.94
Np 0.0000 0.5000 0.5000  6 As 2.80-2.82
Ti 0.5000 0.0000 0.5000  6 As 2.67-2.71
As 0.2571 0.0000 0.7242  1 Ti 2.67, 2 Np 2.82, 2 Ca 2.94
As 0.2736 0.5000 0.2832  2 Ti 2.71, 1 Np 2.80, 1 Ca 2.93
As 0.7264 0.5000 0.7168  2 Ti 2.71, 1 Np 2.80, 1 Ca 2.93
As 0.7429 0.0000 0.2758  1 Ti 2.67, 2 Np 2.82, 2 Ca 2.94

Summary:
Energy relative to the elements, meV per atom: -923
Volume, Å³ per cell: 188
Density of states at the Fermi level, states/eV per atom: 1.127
SG: P2/m

***

Record 4
A plane-wave DFT calculation with PBE-GGA was carried out for a relaxed K2Er2PaTe6 crystal.

Cell: 7.6473 7.6473 8.8301 Å, 98.32 98.32 119.97°
Last column: nearest neighbours and their distance in Å.
Element x y z (fractional)
K 0.1661 0.8339 0.0000  6 Te 3.56-3.57
K 0.8339 0.1661 0.0000  6 Te 3.56-3.57
Er 0.3325 0.6675 0.5000  6 Te 3.08-3.09
Er 0.6675 0.3325 0.5000  6 Te 3.08-3.09
Pa 0.0000 0.0000 0.5000  6 Te 3.09-3.10
Te 0.0706 0.4034 0.7065  2 Er 3.08-3.09, 1 Pa 3.09
Te 0.2677 0.2677 0.2949  2 Er 3.08, 1 Pa 3.10
Te 0.4034 0.0706 0.7065  2 Er 3.08-3.09, 1 Pa 3.09
Te 0.5966 0.9294 0.2935  2 Er 3.08-3.09, 1 Pa 3.09
Te 0.7323 0.7323 0.7051  2 Er 3.08, 1 Pa 3.10
Te 0.9294 0.5966 0.2935  2 Er 3.08-3.09, 1 Pa 3.09

Summary:
Volume, Å³ per cell: 428
Density of states at the Fermi level, states/eV per atom: 0.189
Formation energy from raw total energies, meV/atom: -1229
SG: C2/m

***

Record 5
A plane-wave DFT calculation with PBE-GGA was carried out for a relaxed Tl2TeBr crystal.

Cell: 4.5496 4.6311 6.8069 Å, 90.00 90.11 90.00°
Last column: nearest neighbours and their distance in Å.
Element x y z (fractional)
Tl 0.0000 0.0000 0.0000  4 Br 3.25, 2 Te 3.40
Tl 0.5000 0.5000 0.5000  4 Te 3.25, 2 Br 3.40
Te 0.0000 0.0000 0.5000  6 Tl 3.25-3.40
Br 0.5000 0.5000 0.0000  6 Tl 3.25-3.40

Summary:
Volume, Å³ per cell: 143
Density of states at the Fermi level, states/eV per atom: 0.617
Formation energy from raw total energies, meV/atom: -463
Energy above the most stable polymorph in this dataset, meV per atom: 20
SG: P2/m

***

Record 6
A plane-wave DFT calculation with PBE-GGA was carried out for a relaxed NpO2F2 crystal.

Cell: 5.4153 5.4153 3.7519 Å, 98.42 98.42 47.47°
Last column: nearest neighbours and their distance in Å.
Element x y z (fractional)
Np 0.0000 0.0000 0.0000  4 F 2.23-2.37, 4 O 2.30
O 0.4385 0.4385 0.0871  1 O 1.47
O 0.5615 0.5615 0.9129  1 O 1.47
F 0.1360 0.1360 0.5348  2 Np 2.23-2.37
F 0.8640 0.8640 0.4652  2 Np 2.23-2.37

Summary:
Volume, Å³ per cell: 80
Density of states at the Fermi level, states/eV per atom: 1.198
Formation energy from raw total energies, meV/atom: -2425
Energy above the most stable polymorph in this dataset, meV per atom: 527
SG: C2/m